First-principles (PBE) data for an optimized crystal structure of Pa2TiRu, as listed in Alexandria.

The structure belongs to space group P4/mmm (No. 123); the cell edges are 3.593, 3.593 and 6.587 Å and the angles 90.00°, 90.00° and 90.00°. Symmetry generates all atoms from Pa at (0.000, 0.000, 0.222), Ti at (0.500, 0.500, 0.500) and Ru at (0.500, 0.500, 0.000).

The crystal system is tetragonal. The formation energy comes out at -0.034 eV/atom. The calculation puts the total moment at 0.434 μB per atom.

---

First-principles (PBE) data for an optimized crystal structure of CoSe2BrN, as listed in Alexandria.

The structure belongs to space group P4/mmm (No. 123); the cell edges are 4.534, 4.534 and 4.884 Å and the angles 90.00°, 90.00° and 90.00°. Symmetry generates all atoms from Co at (0.000, 0.000, 0.000), Se at (0.000, 0.500, 0.000), Br at (0.000, 0.000, 0.500) and N at (0.500, 0.500, 0.500).

The crystal system is tetragonal. The value obtained for the formation energy (no corrections) is 1.50 eV per atom. The calculation puts the total moment at 0.000 μB per atom.

---

In eV/atom, the raw total energy values for the records above are, in order, -9.075; -3.311.
In eV/atom, the relative energy among the computed polymorphs values for the records above are, in order, 0.000; 0.929.
In states/eV/atom, the DOS at the Fermi energy values for the records above are, in order, 1.927; 1.290.